(1)
! PIr2Au | the Alexandria database | GGA-PBE | relaxed; values from VASP
&SYSTEM
  ibrav = 0, nat = 8, ntyp = 3
/
ATOMIC_SPECIES
P 30.97 P.upf
Ir 192.22 Ir.upf
Au 196.97 Au.upf
CELL_PARAMETERS angstrom
10.069 0.000 0.000
0.000 2.859 0.000
-2.341 0.000 4.613
ATOMIC_POSITIONS crystal
P 0.000 0.000 0.000
P 0.500 0.500 0.000
Ir 0.205 0.500 0.291
Ir 0.426 0.000 0.274
Ir 0.705 0.000 0.291
Ir 0.926 0.500 0.274
Au 0.162 0.000 0.735
Au 0.662 0.500 0.735
! space group: Cm, No. 8
! DFT formation energy: 0.182 eV per atom



(2)
! PIr2Au | the Alexandria database | GGA-PBE | relaxed; values from VASP
&SYSTEM
  ibrav = 0, nat = 8, ntyp = 3
/
ATOMIC_SPECIES
P 30.97 P.upf
Ir 192.22 Ir.upf
Au 196.97 Au.upf
CELL_PARAMETERS angstrom
5.731 0.000 0.000
0.000 7.168 0.000
0.000 0.000 2.951
ATOMIC_POSITIONS crystal
P 0.000 0.000 0.000
P 0.500 0.500 0.000
Ir 0.250 0.250 0.500
Ir 0.250 0.750 0.500
Ir 0.750 0.250 0.500
Ir 0.750 0.750 0.500
Au 0.000 0.500 0.000
Au 0.500 0.000 0.000
! space group: Cmmm, No. 65
! DFT formation energy: 0.456 eV per atom



(3)
! P2IrPbAu | the Alexandria database | GGA-PBE | relaxed; values from VASP
&SYSTEM
  ibrav = 0, nat = 5, ntyp = 4
/
ATOMIC_SPECIES
P 30.97 P.upf
Ir 192.22 Ir.upf
Pb 207.20 Pb.upf
Au 196.97 Au.upf
CELL_PARAMETERS angstrom
4.553 0.000 0.000
0.000 4.553 0.000
0.000 0.000 5.329
ATOMIC_POSITIONS crystal
P 0.000 0.500 0.000
P 0.500 0.000 0.000
Ir 0.000 0.000 0.000
Pb 0.500 0.500 0.500
Au 0.000 0.000 0.500
! space group: P4/mmm, No. 123
! DFT formation energy: 0.344 eV per atom



(4)
! RbPIrAu2 | the Alexandria database | GGA-PBE | relaxed; values from VASP
&SYSTEM
  ibrav = 0, nat = 5, ntyp = 4
/
ATOMIC_SPECIES
Rb 85.47 Rb.upf
P 30.97 P.upf
Ir 192.22 Ir.upf
Au 196.97 Au.upf
CELL_PARAMETERS angstrom
5.422 0.000 0.000
0.000 5.422 0.000
0.000 0.000 5.246
ATOMIC_POSITIONS crystal
Rb 0.000 0.000 0.000
P 0.000 0.000 0.500
Ir 0.500 0.500 0.500
Au 0.000 0.500 0.000
Au 0.500 0.000 0.000
! space group: P4/mmm, No. 123
! DFT formation energy: 2.525 eV per atom



(5)
! Sn2PIrAu | the Alexandria database | GGA-PBE | relaxed; values from VASP
&SYSTEM
  ibrav = 0, nat = 5, ntyp = 4
/
ATOMIC_SPECIES
Sn 118.71 Sn.upf
P 30.97 P.upf
Ir 192.22 Ir.upf
Au 196.97 Au.upf
CELL_PARAMETERS angstrom
5.321 0.000 0.000
0.000 5.321 0.000
0.000 0.000 4.543
ATOMIC_POSITIONS crystal
Sn 0.000 0.500 0.000
Sn 0.500 0.000 0.000
P 0.000 0.000 0.500
Ir 0.500 0.500 0.500
Au 0.000 0.000 0.000
! space group: P4/mmm, No. 123
! DFT formation energy: 1.168 eV per atom



(6)
! TaP2IrAu | the Alexandria database | GGA-PBE | relaxed; values from VASP
&SYSTEM
  ibrav = 0, nat = 5, ntyp = 4
/
ATOMIC_SPECIES
Ta 180.95 Ta.upf
P 30.97 P.upf
Ir 192.22 Ir.upf
Au 196.97 Au.upf
CELL_PARAMETERS angstrom
4.543 0.000 0.000
0.000 4.543 0.000
0.000 0.000 5.154
ATOMIC_POSITIONS crystal
Ta 0.000 0.000 0.000
P 0.000 0.500 0.500
P 0.500 0.000 0.500
Ir 0.500 0.500 0.000
Au 0.000 0.000 0.500
! space group: P4/mmm, No. 123
! DFT formation energy: 1.806 eV per atom



(7)
! TcPIr2Au | the Alexandria database | GGA-PBE | relaxed; values from VASP
&SYSTEM
  ibrav = 0, nat = 5, ntyp = 4
/
ATOMIC_SPECIES
Tc 98.00 Tc.upf
P 30.97 P.upf
Ir 192.22 Ir.upf
Au 196.97 Au.upf
CELL_PARAMETERS angstrom
4.765 0.000 0.000
0.000 4.765 0.000
0.000 0.000 4.423
ATOMIC_POSITIONS crystal
Tc 0.000 0.000 0.000
P 0.000 0.000 0.500
Ir 0.000 0.500 0.000
Ir 0.500 0.000 0.000
Au 0.500 0.500 0.500
! space group: P4/mmm, No. 123
! DFT formation energy: 1.330 eV per atom



(8)
! Pa2IrAu | the Alexandria database | GGA-PBE | relaxed; values from VASP
&SYSTEM
  ibrav = 0, nat = 4, ntyp = 3
/
ATOMIC_SPECIES
Pa 231.04 Pa.upf
Ir 192.22 Ir.upf
Au 196.97 Au.upf
CELL_PARAMETERS angstrom
4.461 0.000 0.000
0.000 4.461 0.000
0.000 0.000 4.221
ATOMIC_POSITIONS crystal
Pa 0.000 0.500 0.000
Pa 0.500 0.000 0.000
Ir 0.000 0.000 0.500
Au 0.500 0.500 0.500
! space group: P4/mmm, No. 123
! excess energy over the best structure of this formula in the dataset: 0.040 eV per atom
! DFT formation energy: -0.403 eV per atom



(9)
! Pa2IrAu | the Alexandria database | GGA-PBE | relaxed; values from VASP
&SYSTEM
  ibrav = 0, nat = 16, ntyp = 3
/
ATOMIC_SPECIES
Pa 231.04 Pa.upf
Ir 192.22 Ir.upf
Au 196.97 Au.upf
CELL_PARAMETERS angstrom
7.045 0.000 0.000
0.000 7.045 0.000
0.000 0.000 7.045
ATOMIC_POSITIONS crystal
Pa 0.250 0.250 0.250
Pa 0.250 0.250 0.750
Pa 0.250 0.750 0.250
Pa 0.250 0.750 0.750
Pa 0.750 0.250 0.250
Pa 0.750 0.250 0.750
Pa 0.750 0.750 0.250
Pa 0.750 0.750 0.750
Ir 0.000 0.000 0.000
Ir 0.000 0.500 0.500
Ir 0.500 0.000 0.500
Ir 0.500 0.500 0.000
Au 0.000 0.000 0.500
Au 0.000 0.500 0.000
Au 0.500 0.000 0.000
Au 0.500 0.500 0.500
! space group: Fm-3m, No. 225
! excess energy over the best structure of this formula in the dataset: 0.061 eV per atom
! DFT formation energy: -0.383 eV per atom



(10)
! Pa2IrAu | the Alexandria database | GGA-PBE | relaxed; values from VASP
&SYSTEM
  ibrav = 0, nat = 4, ntyp = 3
/
ATOMIC_SPECIES
Pa 231.04 Pa.upf
Ir 192.22 Ir.upf
Au 196.97 Au.upf
CELL_PARAMETERS angstrom
3.476 0.000 0.000
0.000 3.476 0.000
0.000 0.000 7.337
ATOMIC_POSITIONS crystal
Pa 0.000 0.000 0.224
Pa 0.000 0.000 0.776
Ir 0.500 0.500 0.000
Au 0.500 0.500 0.500
! space group: P4/mmm, No. 123
! excess energy over the best structure of this formula in the dataset: 0.000 eV per atom
! DFT formation energy: -0.444 eV per atom



(11)
! PaIr2Au | the Alexandria database | GGA-PBE | relaxed; values from VASP
&SYSTEM
  ibrav = 0, nat = 4, ntyp = 3
/
ATOMIC_SPECIES
Pa 231.04 Pa.upf
Ir 192.22 Ir.upf
Au 196.97 Au.upf
CELL_PARAMETERS angstrom
4.280 0.000 0.000
0.000 4.280 0.000
0.000 0.000 3.927
ATOMIC_POSITIONS crystal
Pa 0.000 0.000 0.000
Ir 0.000 0.500 0.500
Ir 0.500 0.000 0.500
Au 0.500 0.500 0.000
! space group: P4/mmm, No. 123
! DFT formation energy: -0.630 eV per atom



(12)
! Pa2IrAu | the Alexandria database | GGA-PBE | relaxed; values from VASP
&SYSTEM
  ibrav = 0, nat = 12, ntyp = 3
/
ATOMIC_SPECIES
Pa 231.04 Pa.upf
Ir 192.22 Ir.upf
Au 196.97 Au.upf
CELL_PARAMETERS angstrom
3.077 0.000 0.000
-1.539 2.665 0.000
0.000 0.000 32.177
ATOMIC_POSITIONS crystal
Pa 0.000 0.000 0.093
Pa 0.000 0.000 0.907
Pa 0.333 0.667 0.573
Pa 0.333 0.667 0.760
Pa 0.667 0.333 0.240
Pa 0.667 0.333 0.427
Ir 0.000 0.000 0.500
Ir 0.333 0.667 0.167
Ir 0.667 0.333 0.833
Au 0.000 0.000 0.000
Au 0.333 0.667 0.667
Au 0.667 0.333 0.333
! space group: R-3m, No. 166
! excess energy over the best structure of this formula in the dataset: 0.507 eV per atom
! DFT formation energy: 0.064 eV per atom



Q: What is the DFT formation energy in the ninth record?
A: -0.383 eV per atom



Q: The lowest DFT formation energy belongs to which entry?
A: PaIr2Au



Q: Which value of DFT formation energy does entry 9 give?
A: -0.383 eV per atom